The following is a DFT calculation (GGA-PBE) of an optimized crystal structure of Li2TbAsO4.

a = 4.4538 Å, b = 4.4538 Å, c = 9.5127 Å
α = 90.00°, β = 90.00°, γ = 90.00°
Closest atoms and distances in Å follow each position.
Space group I-4m2 (No. 119)
Inequivalent atoms, fractional coordinates:
1 Li 0.0000 0.0000 0.0000  4 O 2.23
2 Li 0.0000 0.5000 0.2500  6 O 2.24-2.43
3 Tb 0.0000 0.5000 0.7500  6 O 2.24-2.33
4 As 0.0000 0.0000 0.5000  6 O 2.16-2.23
5 O 0.0000 0.0000 0.2730  1 As 2.16, 2 Tb 2.24, 2 Li 2.24
6 O 0.0000 0.5000 0.5052  2 As 2.23, 3 Li 2.23-2.43, 1 Tb 2.33

Output
Electronic total energy ... -6.198 eV/atom
Spin magnetization ... 0.0 μB per formula unit
Energy relative to the elements, uncorrected ... -1606 kJ/mol of formula units

---

The following is a DFT calculation (GGA-PBE) of an optimized crystal structure of Sc3BSe.

a = 19.5753 Å, b = 3.3912 Å, c = 5.4212 Å
α = 90.00°, β = 98.22°, γ = 90.00°
Closest atoms and distances in Å follow each position.
Space group C2/m (No. 12)
Inequivalent atoms, fractional coordinates:
1 Sc 0.0018 0.0000 0.2594  2 Sc 2.62-2.80, 4 Se 2.80-2.82
2 Sc 0.1410 0.5000 0.5708  3 B 2.55-2.58
3 Sc 0.1976 0.0000 0.1196  3 B 2.47-2.57, 2 Se 2.69
4 B 0.2404 0.0000 0.5700  2 B 1.92
5 Se 0.0899 0.5000 0.0426  8 Sc 2.69-2.90

Output
Electronic total energy ... -6.585 eV/atom
Spin magnetization ... 0.6 μB per formula unit
E above lowest polymorph ... 0 meV per atom
Energy relative to the elements, uncorrected ... -364 kJ/mol of formula units

---

The following is a DFT calculation (GGA-PBE) of an optimized crystal structure of CaAc2Ag.

a = 3.9996 Å, b = 3.9996 Å, c = 33.7741 Å
α = 90.00°, β = 90.00°, γ = 120.00°
Closest atoms and distances in Å follow each position.
Space group R3m (No. 160, hexagonal axes)
Inequivalent atoms, fractional coordinates:
1 Ca 0.0000 0.0000 0.0000  6 Ac 3.98-4.02, 6 Ca 4.00
2 Ac 0.0000 0.0000 0.2360  3 Ag 3.31
3 Ac 0.0000 0.0000 0.4293  3 Ag 3.30
4 Ag 0.0000 0.0000 0.8324  6 Ac 3.30-3.31

Output
Electronic total energy ... -3.258 eV/atom
Formation energy from the elements ... 0.009 eV per atom
Spin magnetization ... 0.0 μB per formula unit
E above lowest polymorph ... 117 meV per atom

---

The following is a DFT calculation (GGA-PBE) of an optimized crystal structure of Ca2SmSn9.

a = 4.7555 Å, b = 4.7555 Å, c = 14.2706 Å
α = 90.00°, β = 90.00°, γ = 90.00°
Closest atoms and distances in Å follow each position.
Space group P4/mmm (No. 123)
Inequivalent atoms, fractional coordinates:
1 Ca 0.0000 0.0000 0.1679  12 Sn 3.35-3.38
2 Sm 0.0000 0.0000 0.5000  12 Sn 3.36-3.37
3 Sn 0.0000 0.5000 0.0000  8 Sn 3.36, 4 Ca 3.38
4 Sn 0.0000 0.5000 0.3328  2 Ca 3.35, 8 Sn 3.36-3.37, 2 Sm 3.37
5 Sn 0.5000 0.5000 0.1662  8 Sn 3.36, 4 Ca 3.36
6 Sn 0.5000 0.5000 0.5000  4 Sm 3.36, 8 Sn 3.37

Output
Electronic total energy ... -4.151 eV/atom
Formation energy from the elements ... -0.422 eV per atom
Spin magnetization ... 0.0 μB per formula unit

---

The following is a DFT calculation (GGA-PBE) of an optimized crystal structure of BaCdFe2Pd.

a = 4.8890 Å, b = 4.8890 Å, c = 6.2780 Å
α = 90.00°, β = 90.00°, γ = 90.00°
Closest atoms and distances in Å follow each position.
Space group P4/mmm (No. 123)
Inequivalent atoms, fractional coordinates:
1 Ba 0.0000 0.0000 0.0000  2 Cd 3.14, 4 Pd 3.46
2 Cd 0.0000 0.0000 0.5000  4 Fe 2.44
3 Fe 0.0000 0.5000 0.5000  2 Cd 2.44
4 Pd 0.5000 0.5000 0.0000  4 Ba 3.46

Output
Electronic total energy ... -3.801 eV/atom
Formation energy from the elements ... 1.191 eV per atom
Spin magnetization ... 6.3 μB per formula unit

---

The following is a DFT calculation (GGA-PBE) of an optimized crystal structure of Ta2CoTe.

a = 9.7816 Å, b = 3.3026 Å, c = 4.6605 Å
α = 90.00°, β = 114.03°, γ = 90.00°
Closest atoms and distances in Å follow each position.
Space group Cm (No. 8)
Inequivalent atoms, fractional coordinates:
1 Ta 0.0000 0.0000 0.0000  2 Co 2.60, 1 Te 2.86
2 Ta 0.2132 0.0000 0.6807  2 Co 2.60, 2 Te 2.88
3 Co 0.4915 0.0000 0.5617  4 Ta 2.60, 2 Te 2.63
4 Te 0.2729 0.5000 0.2392  2 Co 2.63, 7 Ta 2.86-2.94

Output
Electronic total energy ... -8.329 eV/atom
Spin magnetization ... 0.0 μB per formula unit
Energy relative to the elements, uncorrected ... 61 kJ/mol of formula units